{
  "formula": "NaLiMn2F6",
  "functional": "GGA+U",
  "state": "relaxed",
  "density_g_cm3": 3.3,
  "sg": "R3, No. 146",
  "e_tot_ev_per_atom": -5.68,
  "lattice_angstrom": [[5.4819, 0.0010, 0.0007], [2.7412, 4.7467, 0.0009], [2.7405, 1.5808, 4.8851]],
  "species": ["Mn", "F", "F", "Mn", "F", "Li", "F", "F", "F", "Na"],
  "fractional_positions": [[0.0141, 0.0142, 0.9575], [0.1434, 0.3860, 0.7516], [0.3860, 0.7194, 0.7512], [0.5190, 0.5190, 0.4431], [0.9197, 0.6079, 0.2365], [0.3133, 0.3134, 0.0597], [0.2360, 0.9195, 0.2364], [0.7192, 0.1434, 0.7513], [0.6079, 0.2359, 0.2365], [0.8030, 0.8028, 0.5913]]
}